[1]
Below is a geometry-optimized PuPdRhAu structure, with properties calculated at the GGA-PBE level.

a b c (Å): 3.8884 4.1700 4.4711
angles (deg): 90.00 90.00 90.00
Space group Pmmm (No. 47)
Asymmetric unit:
Pu 0.0000 0.0000 0.0000
Pd 0.5000 0.0000 0.5000
Rh 0.5000 0.5000 0.0000
Au 0.0000 0.5000 0.5000

Properties
Formation energy from the elements in meV/atom: -478
Energy in eV per formula unit: -32.1
Theoretical density in Mg/m³: 14.89
V in Å³/cell: 72.5
Excess energy over the best structure of this formula in the dataset in eV/f.u.: 0.000
Density of states at the Fermi level in states/eV/cell: 12.522

[2]
Below is a geometry-optimized LaGa6Ni6 structure, with properties calculated at the GGA-PBE level.

a b c (Å): 5.0422 8.4280 8.7818
angles (deg): 90.00 90.00 90.00
Space group Immm (No. 71)
Asymmetric unit:
La 0.0000 0.0000 0.0000
Ga 0.0000 0.0000 0.3488
Ga 0.0000 0.3460 0.0000
Ga 0.0000 0.5000 0.3045
Ni 0.0000 0.2605 0.5000
Ni 0.2500 0.2500 0.2500

Properties
Formation energy from the elements in meV/atom: -440
Energy in eV per formula unit: -63.5
Theoretical density in Mg/m³: 8.09
V in Å³/cell: 373.2
Density of states at the Fermi level in states/eV/cell: 17.250

[3]
Below is a geometry-optimized LiAcScS3 structure, with properties calculated at the GGA-PBE level.

a b c (Å): 7.9838 3.9150 8.6030
angles (deg): 90.00 105.97 90.00
Space group P2_1/m (No. 11)
Asymmetric unit:
Li 0.0938 0.2500 0.0931
Ac 0.2023 0.2500 0.7356
Sc 0.3344 0.7500 0.3494
S 0.1086 0.2500 0.3683
S 0.2222 0.7500 0.0209
S 0.4526 0.7500 0.6651

Properties
Energy relative to the elements, uncorrected in eV per atom: -1.81
Energy in eV per formula unit: -35.6
Theoretical density in Mg/m³: 4.82
V in Å³/cell: 258.5
Density of states at the Fermi level in states/eV/cell: 6.212

[4]
Below is a geometry-optimized SrV2MoC structure, with properties calculated at the GGA-PBE level.

a b c (Å): 4.8722 4.8722 4.2493
angles (deg): 90.00 90.00 90.00
Space group P4/mmm (No. 123)
Asymmetric unit:
Sr 0.0000 0.0000 0.0000
V 0.0000 0.5000 0.5000
Mo 0.5000 0.5000 0.5000
C 0.5000 0.5000 0.0000

Properties
Formation energy from the elements in meV/atom: 1229
Energy in eV per formula unit: -33.8
Theoretical density in Mg/m³: 4.90
V in Å³/cell: 100.9
Density of states at the Fermi level in states/eV/cell: 5.355

[5]
Below is a geometry-optimized CuRe3N structure, with properties calculated at the GGA-PBE level.

a b c (Å): 4.4286 4.4286 4.4286
angles (deg): 90.00 90.00 90.00
Space group Pm-3m (No. 221)
Asymmetric unit:
Cu 0.0000 0.0000 0.0000
Re 0.0000 0.0000 0.5000
N 0.5000 0.5000 0.5000

Properties
Energy relative to the elements, uncorrected in eV per atom: 3.32
Energy in eV per formula unit: -33.2
Theoretical density in Mg/m³: 12.16
V in Å³/cell: 86.9
Excess energy over the best structure of this formula in the dataset in eV/f.u.: 14.495
Density of states at the Fermi level in states/eV/cell: 7.404

[6]
Below is a geometry-optimized LiGdAlRu structure, with properties calculated at the GGA-PBE level.

a b c (Å): 6.5599 6.5599 6.5599
angles (deg): 90.00 90.00 90.00
Space group F-43m (No. 216)
Asymmetric unit:
Li 0.0000 0.0000 0.0000
Gd 0.2500 0.2500 0.2500
Al 0.2500 0.2500 0.7500
Ru 0.0000 0.0000 0.5000

Properties
Formation energy from the elements in meV/atom: -303
Energy in eV per formula unit: -30.2
Theoretical density in Mg/m³: 6.88
V in Å³/cell: 282.3
Density of states at the Fermi level in states/eV/cell: 8.363

[7]
Below is a geometry-optimized Ho2PaSb3 structure, with properties calculated at the GGA-PBE level.

a b c (Å): 6.1798 13.0853 8.7329
angles (deg): 90.00 90.01 90.00
Space group P2_1/c (No. 14)
Asymmetric unit:
Ho 0.2490 0.2499 0.3760
Ho 0.2504 0.5836 0.3765
Pa 0.2506 0.5825 0.8760
Sb 0.2494 0.0841 0.6277
Sb 0.2496 0.0828 0.1258
Sb 0.2510 0.7503 0.1257

Properties
Energy relative to the elements, uncorrected in eV per atom: -0.88
Energy in eV per formula unit: -36.3
Theoretical density in Mg/m³: 8.71
V in Å³/cell: 706.2
Density of states at the Fermi level in states/eV/cell: 25.756

[8]
Below is a geometry-optimized Tb6CuNi2 structure, with properties calculated at the GGA-PBE level.

a b c (Å): 9.3698 9.5203 9.8092
angles (deg): 90.00 90.00 90.00
Space group Immm (No. 71)
Asymmetric unit:
Tb 0.0000 0.1871 0.2432
Tb 0.1903 0.5000 0.1736
Tb 0.2250 0.3229 0.5000
Cu 0.0000 0.0000 0.0000
Cu 0.0000 0.0000 0.5000
Ni 0.0000 0.3420 0.0000
Ni 0.0000 0.5000 0.3812

Properties
Formation energy from the elements in meV/atom: -239
Energy in eV per formula unit: -45.6
Theoretical density in Mg/m³: 8.61
V in Å³/cell: 875.0
Density of states at the Fermi level in states/eV/cell: 34.775

[9]
Below is a geometry-optimized Cr2Pb structure, with properties calculated at the GGA-PBE level.

a b c (Å): 4.7684 4.7684 5.9908
angles (deg): 90.00 90.00 120.00
Space group P6_3/mmc (No. 194)
Asymmetric unit:
Cr 0.0000 0.0000 0.0000
Cr 0.3333 0.6667 0.2500
Pb 0.3333 0.6667 0.7500

Properties
Formation energy from the elements in meV/atom: 788
Energy in eV per formula unit: -20.6
Theoretical density in Mg/m³: 8.76
V in Å³/cell: 118.0
Excess energy over the best structure of this formula in the dataset in eV/f.u.: 1.070
Density of states at the Fermi level in states/eV/cell: 3.811

[10]
Below is a geometry-optimized CeAlTc structure, with properties calculated at the GGA-PBE level.

a b c (Å): 4.5124 5.0625 5.9789
angles (deg): 78.14 68.84 75.38
Space group P-1 (No. 2)
Asymmetric unit:
Ce 0.1009 0.1922 0.1794
Al 0.3771 0.2587 0.5896
Tc 0.2516 0.5913 0.2144

Properties
Formation energy from the elements in meV/atom: -364
Energy in eV per formula unit: -21.1
Theoretical density in Mg/m³: 7.20
V in Å³/cell: 122.3
Excess energy over the best structure of this formula in the dataset in eV/f.u.: 0.051
Density of states at the Fermi level in states/eV/cell: 3.659

[11]
Below is a geometry-optimized KTlSn structure, with properties calculated at the GGA-PBE level.

a b c (Å): 5.2516 14.5217 5.2371
angles (deg): 90.00 90.00 90.00
Space group Cmcm (No. 63)
Asymmetric unit:
K 0.0000 0.2471 0.2500
Tl 0.0000 0.4237 0.7500
Sn 0.0000 0.0591 0.7500

Properties
Formation energy from the elements in meV/atom: -135
Energy in eV per formula unit: -7.9
Theoretical density in Mg/m³: 6.02
V in Å³/cell: 399.4
Density of states at the Fermi level in states/eV/cell: 3.450

[12]
Below is a geometry-optimized PrNdHoEr3 structure, with properties calculated at the GGA-PBE level.

a b c (Å): 19.5175 5.6325 7.1452
angles (deg): 90.00 90.35 90.00
Space group C2/m (No. 12)
Asymmetric unit:
Pr 0.1467 0.0000 0.0332
Nd 0.0510 0.5000 0.2630
Ho 0.1504 0.0000 0.4571
Er 0.0241 0.0000 0.7382
Er 0.1662 0.5000 0.7350
Er 0.2206 0.5000 0.2472

Properties
Formation energy from the elements in meV/atom: 192
Energy in eV per formula unit: -26.7
Theoretical density in Mg/m³: 8.05
V in Å³/cell: 785.5
Density of states at the Fermi level in states/eV/cell: 39.643

> Which of these has the lowest energy?

LaGa6Ni6